Record 1
Below is a geometry-optimized YTiTlO4 structure, with properties calculated at the GGA-PBE level.

Lattice parameters (Å, degrees): 6.008 6.054 7.585 90.00 107.32 90.00
Element x y z (fractional)
Y  0.186  0.250  0.049
Y  0.814  0.750  0.951
Ti  0.278  0.750  0.846
Ti  0.722  0.250  0.154
Tl  0.313  0.250  0.584
Tl  0.687  0.750  0.416
O  0.067  0.524  0.840
O  0.067  0.976  0.840
O  0.480  0.750  0.706
O  0.491  0.750  0.068
O  0.509  0.250  0.932
O  0.520  0.250  0.294
O  0.933  0.024  0.160
O  0.933  0.476  0.160

Calculated values
For the total magnetic moment, the calculation gives 0.00 μB/cell. Its space group is P2_1/m, No. 11. Its raw total energy is -7.88 eV per atom. For the uncorrected formation energy, the calculation gives -2.66 eV per atom.


Record 2
Below is a geometry-optimized NdSmTh2Se4 structure, with properties calculated at the GGA-PBE level.

Lattice parameters (Å, degrees): 7.182 4.218 7.348 90.00 109.54 90.00
Element x y z (fractional)
Nd  0.000  0.000  0.000
Sm  0.500  0.500  0.000
Th  0.000  0.500  0.500
Th  0.500  0.000  0.500
Se  0.251  0.500  0.247
Se  0.253  0.000  0.754
Se  0.747  0.000  0.246
Se  0.749  0.500  0.753

Calculated values
For the total magnetic moment, the calculation gives 0.00 μB/cell. Its space group is P2/m, No. 10. Its raw total energy is -6.45 eV per atom. For the uncorrected formation energy, the calculation gives -1.67 eV per atom.


Record 3
Below is a geometry-optimized K2AgPd structure, with properties calculated at the GGA-PBE level.

Lattice parameters (Å, degrees): 4.790 4.790 4.817 90.00 90.00 90.00
Element x y z (fractional)
K  0.000  0.500  0.000
K  0.500  0.000  0.000
Ag  0.000  0.000  0.500
Pd  0.500  0.500  0.500

Calculated values
For the total magnetic moment, the calculation gives 0.00 μB/cell. The calculation puts the formation energy at 228 meV per atom. Its space group is P4/mmm, No. 123. The energy above the most stable polymorph in this dataset comes out at 197 meV/atom. Its raw total energy is -2.33 eV per atom.


Record 4
Below is a geometry-optimized TcTe6Mo2 structure, with properties calculated at the GGA-PBE level.

Lattice parameters (Å, degrees): 8.371 8.371 6.576 100.79 100.79 86.18
Element x y z (fractional)
Tc  0.068  0.932  0.750
Tc  0.932  0.068  0.250
Te  0.002  0.237  0.956
Te  0.138  0.622  0.526
Te  0.237  0.002  0.456
Te  0.321  0.468  0.015
Te  0.378  0.862  0.974
Te  0.468  0.321  0.515
Te  0.532  0.679  0.485
Te  0.622  0.138  0.026
Te  0.679  0.532  0.985
Te  0.763  0.998  0.544
Te  0.862  0.378  0.474
Te  0.998  0.763  0.044
Mo  0.173  0.303  0.640
Mo  0.303  0.173  0.140
Mo  0.697  0.827  0.860
Mo  0.827  0.697  0.360

Calculated values
For the total magnetic moment, the calculation gives 0.00 μB/cell. Its space group is C2/c, No. 15. Its raw total energy is -5.56 eV per atom. For the uncorrected formation energy, the calculation gives 0.09 eV per atom.


Record 5
Below is a geometry-optimized MgZn2Cl structure, with properties calculated at the GGA-PBE level.

Lattice parameters (Å, degrees): 3.796 3.796 11.265 90.00 90.00 90.00
Element x y z (fractional)
Mg  0.000  0.000  0.000
Mg  0.500  0.500  0.500
Zn  0.000  0.500  0.250
Zn  0.000  0.500  0.750
Zn  0.500  0.000  0.250
Zn  0.500  0.000  0.750
Cl  0.000  0.000  0.500
Cl  0.500  0.500  0.000

Calculated values
For the total magnetic moment, the calculation gives 0.00 μB/cell. Its space group is I4/mmm, No. 139. The energy above the most stable polymorph in this dataset comes out at 155 meV/atom. Its raw total energy is -1.74 eV per atom. For the uncorrected formation energy, the calculation gives -0.24 eV per atom.


Record 6
Below is a geometry-optimized Sc4Ag3Hg2 structure, with properties calculated at the GGA-PBE level.

Lattice parameters (Å, degrees): 5.081 5.081 9.012 99.21 99.21 54.09
Element x y z (fractional)
Sc  0.028  0.028  0.333
Sc  0.346  0.346  0.111
Sc  0.654  0.654  0.889
Sc  0.972  0.972  0.667
Ag  0.000  0.000  0.000
Ag  0.345  0.345  0.447
Ag  0.655  0.655  0.553
Hg  0.305  0.305  0.773
Hg  0.695  0.695  0.227

Calculated values
For the total magnetic moment, the calculation gives 0.00 μB/cell. The calculation puts the formation energy at -271 meV per atom. Its space group is C2/m, No. 12. Its raw total energy is -4.10 eV per atom.


Record 7
Below is a geometry-optimized AcHI3 structure, with properties calculated at the GGA-PBE level.

Lattice parameters (Å, degrees): 9.088 4.572 9.356 90.00 98.37 90.00
Element x y z (fractional)
Ac  0.129  0.250  0.261
Ac  0.871  0.750  0.739
H  0.370  0.250  0.190
H  0.630  0.750  0.810
I  0.123  0.250  0.880
I  0.186  0.750  0.533
I  0.381  0.750  0.185
I  0.619  0.250  0.815
I  0.814  0.250  0.467
I  0.877  0.750  0.120

Calculated values
For the total magnetic moment, the calculation gives 0.00 μB/cell. Its space group is P2_1/m, No. 11. Its raw total energy is -3.39 eV per atom.


Record 8
Below is a geometry-optimized TbPrSe2 structure, with properties calculated at the GGA-PBE level.

Lattice parameters (Å, degrees): 7.178 4.158 7.333 90.00 109.17 90.00
Element x y z (fractional)
Tb  0.000  0.000  0.000
Tb  0.500  0.500  0.000
Pr  0.000  0.500  0.500
Pr  0.500  0.000  0.500
Se  0.245  0.500  0.234
Se  0.255  0.000  0.766
Se  0.745  0.000  0.234
Se  0.755  0.500  0.766

Calculated values
For the total magnetic moment, the calculation gives 0.00 μB/cell. Its space group is C2/m, No. 12. The energy above the most stable polymorph in this dataset comes out at 1 meV/atom. Its raw total energy is -5.91 eV per atom. For the uncorrected formation energy, the calculation gives -1.81 eV per atom.


Record 9
Below is a geometry-optimized KAuF5 structure, with properties calculated at the GGA-PBE level.

Lattice parameters (Å, degrees): 5.591 5.757 8.900 98.87 104.68 110.06
Element x y z (fractional)
K  0.230  0.015  0.288
K  0.770  0.985  0.712
Au  0.000  0.500  0.500
Au  0.500  0.500  0.000
F  0.196  0.876  0.582
F  0.203  0.213  0.016
F  0.254  0.505  0.383
F  0.288  0.441  0.773
F  0.342  0.737  0.064
F  0.658  0.263  0.936
F  0.712  0.559  0.227
F  0.746  0.495  0.617
F  0.797  0.787  0.984
F  0.804  0.124  0.418

Calculated values
For the total magnetic moment, the calculation gives 0.07 μB/cell. Its space group is P-1, No. 2. Its raw total energy is -3.57 eV per atom. For the uncorrected formation energy, the calculation gives -1.61 eV per atom.


Record 10
Below is a geometry-optimized Hf5Ga5H2 structure, with properties calculated at the GGA-PBE level.

Lattice parameters (Å, degrees): 5.479 5.479 10.056 108.26 108.26 42.35
Element x y z (fractional)
Hf  0.000  0.000  0.000
Hf  0.133  0.133  0.345
Hf  0.364  0.364  0.157
Hf  0.636  0.636  0.843
Hf  0.867  0.867  0.655
Ga  0.153  0.153  0.628
Ga  0.342  0.342  0.858
Ga  0.500  0.500  0.500
Ga  0.658  0.658  0.142
Ga  0.847  0.847  0.372
H  0.051  0.051  0.824
H  0.949  0.949  0.176

Calculated values
For the total magnetic moment, the calculation gives 0.00 μB/cell. Its space group is C2/m, No. 12. Its raw total energy is -6.38 eV per atom.


Record 11
Below is a geometry-optimized Zr7Hg structure, with properties calculated at the GGA-PBE level.

Lattice parameters (Å, degrees): 6.362 6.362 6.362 60.00 60.00 60.00
Element x y z (fractional)
Zr  0.000  0.000  0.000
Zr  0.000  0.000  0.500
Zr  0.000  0.500  0.000
Zr  0.000  0.500  0.500
Zr  0.500  0.000  0.000
Zr  0.500  0.000  0.500
Zr  0.500  0.500  0.000
Hg  0.500  0.500  0.500

Calculated values
For the total magnetic moment, the calculation gives 0.00 μB/cell. The calculation puts the formation energy at 11 meV per atom. Its space group is Fm-3m, No. 225. Its raw total energy is -7.51 eV per atom.


Record 12
Below is a geometry-optimized MgBe2Au structure, with properties calculated at the GGA-PBE level.

Lattice parameters (Å, degrees): 2.895 3.833 5.063 90.00 106.41 90.00
Element x y z (fractional)
Mg  0.000  0.000  0.000
Be  0.275  0.000  0.540
Be  0.383  0.500  0.765
Au  0.677  0.500  0.354

Calculated values
For the total magnetic moment, the calculation gives 0.00 μB/cell. The calculation puts the formation energy at 3 meV per atom. Its space group is Pm, No. 6. Its raw total energy is -3.08 eV per atom.